No. 1
This record from Alexandria describes a relaxed Dy2TlSb crystal. The functional is PBE-GGA.

Summary:
**Energy above the most stable polymorph in this dataset**: 0.070 eV per atom

a = 4.1724 Å, b = 4.1724 Å, c = 24.0392 Å
α = 90.00°, β = 90.00°, γ = 120.00°
Space group R-3m (No. 166, hexagonal axes)
Symmetry-distinct sites (fractional):
Dy1 0.0000 0.0000 0.2434 [6 per cell]
Tl1 0.0000 0.0000 0.0000 [3 per cell]
Sb1 0.0000 0.0000 0.5000 [3 per cell]

=====

No. 2
This record from Alexandria describes a relaxed CdHg2Se crystal. The functional is PBE-GGA.

Summary:
**E**: -1.093 eV per atom

a = 3.328 Å, b = 3.328 Å, c = 8.690 Å
α = 90.00°, β = 90.00°, γ = 90.00°
Space group P4/mmm (No. 123)
Symmetry-distinct sites (fractional):
Cd1 0.000 0.000 0.000 [1 per cell]
Hg1 0.500 0.500 0.245 [2 per cell]
Se1 0.000 0.000 0.500 [1 per cell]

=====

No. 3
This record from Alexandria describes a relaxed Tb3Ce2PmP6 crystal. The functional is PBE-GGA.

Summary:
**Formation enthalpy at 0 K**: -1.57 eV per atom

a = 7.039 Å, b = 12.192 Å, c = 7.027 Å
α = 90.00°, β = 109.50°, γ = 90.00°
Space group C2/m (No. 12)
Symmetry-distinct sites (fractional):
Tb1 0.000 0.000 0.000 [2 per cell]
Tb2 0.000 0.334 0.000 [4 per cell]
Ce1 0.000 0.167 0.500 [4 per cell]
Pm1 0.000 0.500 0.500 [2 per cell]
P1 0.247 0.000 0.753 [4 per cell]
P2 0.247 0.169 0.248 [8 per cell]

=====

No. 4
This record from Alexandria describes a relaxed PaPb3Se6 crystal. The functional is PBE-GGA.

Summary:
**Energy above the most stable polymorph in this dataset**: 0.003 eV per atom

a = 7.304 Å, b = 8.000 Å, c = 12.535 Å
α = 90.00°, β = 122.20°, γ = 90.00°
Space group P2_1/c (No. 14)
Symmetry-distinct sites (fractional):
Pa1 0.000 0.000 0.000 [2 per cell]
Pb1 0.311 0.081 0.792 [4 per cell]
Pb2 0.500 0.000 0.500 [2 per cell]
Se1 0.105 0.061 0.243 [4 per cell]
Se2 0.257 0.713 0.087 [4 per cell]
Se3 0.364 0.175 0.046 [4 per cell]

=====

No. 5
This record from Alexandria describes a relaxed Sm2Er2Tm2Th crystal. The functional is PBE-GGA.

Summary:
**Formation enthalpy at 0 K**: 0.12 eV per atom

a = 17.366 Å, b = 3.499 Å, c = 8.367 Å
α = 90.00°, β = 116.42°, γ = 90.00°
Space group C2/m (No. 12)
Symmetry-distinct sites (fractional):
Sm1 0.070 0.000 0.398 [4 per cell]
Er1 0.214 0.500 0.294 [4 per cell]
Tm1 0.147 0.000 0.895 [4 per cell]
Th1 0.000 0.500 0.000 [2 per cell]

=====

No. 6
This record from Alexandria describes a relaxed MgScInSi2 crystal. The functional is PBE-GGA.

Summary:
**E**: -3.612 eV per atom

a = 5.059 Å, b = 5.059 Å, c = 5.648 Å
α = 90.00°, β = 90.00°, γ = 90.00°
Space group P4/mmm (No. 123)
Symmetry-distinct sites (fractional):
Mg1 0.000 0.000 0.000 [1 per cell]
Sc1 0.000 0.000 0.500 [1 per cell]
In1 0.500 0.500 0.000 [1 per cell]
Si1 0.000 0.500 0.500 [2 per cell]

=====

No. 7
This record from Alexandria describes a relaxed NaTlCdHg4 crystal. The functional is PBE-GGA.

Summary:
**Formation enthalpy at 0 K**: -0.04 eV per atom

a = 11.835 Å, b = 6.905 Å, c = 9.397 Å
α = 90.00°, β = 91.12°, γ = 90.00°
Space group C2/m (No. 12)
Symmetry-distinct sites (fractional):
Na1 0.001 0.000 0.299 [4 per cell]
Tl1 0.009 0.500 0.326 [4 per cell]
Cd1 0.121 0.500 0.009 [4 per cell]
Hg1 0.123 0.000 0.006 [4 per cell]
Hg2 0.214 0.000 0.499 [4 per cell]
Hg3 0.237 0.253 0.765 [8 per cell]

=====

No. 8
This record from Alexandria describes a relaxed ScNbTc crystal. The functional is PBE-GGA.

Summary:
**Energy above the most stable polymorph in this dataset**: 0.074 eV per atom
**Formation enthalpy at 0 K**: -0.13 eV per atom

a = 4.5114 Å, b = 4.5114 Å, c = 3.0024 Å
α = 90.00°, β = 90.00°, γ = 120.00°
Space group P3m1 (No. 156)
Symmetry-distinct sites (fractional):
Sc1 0.0000 0.0000 0.0000 [1 per cell]
Nb1 0.6667 0.3333 0.3987 [1 per cell]
Tc1 0.3333 0.6667 0.6632 [1 per cell]

=====

No. 9
This record from Alexandria describes a relaxed CdW2 crystal. The functional is PBE-GGA.

Summary:
**Energy above the most stable polymorph in this dataset**: 0.436 eV per atom
**Formation enthalpy at 0 K**: 0.92 eV per atom

a = 4.6374 Å, b = 4.6374 Å, c = 5.5334 Å
α = 90.00°, β = 90.00°, γ = 120.00°
Space group P6_3/mmc (No. 194)
Symmetry-distinct sites (fractional):
Cd1 0.3333 0.6667 0.2500 [2 per cell]
W1 0.0000 0.0000 0.0000 [2 per cell]
W2 0.3333 0.6667 0.7500 [2 per cell]

=====

No. 10
This record from Alexandria describes a relaxed AcPuGeRh crystal. The functional is PBE-GGA.

Summary:
**Formation enthalpy at 0 K**: -0.34 eV per atom

a = 7.334 Å, b = 7.334 Å, c = 7.334 Å
α = 90.00°, β = 90.00°, γ = 90.00°
Space group F-43m (No. 216)
Symmetry-distinct sites (fractional):
Ac1 0.000 0.000 0.000 [4 per cell]
Pu1 0.000 0.000 0.500 [4 per cell]
Ge1 0.250 0.250 0.750 [4 per cell]
Rh1 0.250 0.250 0.250 [4 per cell]

=====

No. 11
This record from Alexandria describes a relaxed LiHo4Pd5 crystal. The functional is PBE-GGA.

Summary:
**Formation enthalpy at 0 K**: -0.83 eV per atom

a = 3.446 Å, b = 3.446 Å, c = 16.730 Å
α = 90.00°, β = 90.00°, γ = 90.00°
Space group P4/mmm (No. 123)
Symmetry-distinct sites (fractional):
Li1 0.000 0.000 0.000 [1 per cell]
Ho1 0.000 0.000 0.180 [2 per cell]
Ho2 0.000 0.000 0.394 [2 per cell]
Pd1 0.500 0.500 0.085 [2 per cell]
Pd2 0.500 0.500 0.287 [2 per cell]
Pd3 0.500 0.500 0.500 [1 per cell]